PrSm8Hg6 | PBE | relaxed

Output
The calculation puts the density of states at the Fermi level at 19.31 states/eV per cell. For the total energy, the calculation gives -48.01 eV per cell. As for the formation energy from the elements: -244 meV per atom. For the total magnetic moment, the calculation gives 2.6 μB per cell.

```
15
Lattice="4.5703 2.6387 6.4396 -4.5703 2.6387 6.4396 0.0000 -5.2774 6.4396" Properties=species:S:1:pos:R:3 pbc="T T T"
Pr 0.0000 0.0000 0.0000
Sm -1.4922 -2.6627 8.6522
Sm -3.0521 -0.0391 10.6668
Sm 0.0000 0.0000 6.4190
Sm -1.5599 2.6237 8.6522
Sm 1.5599 -2.6237 10.6667
Sm 0.0000 0.0000 12.8999
Sm 3.0521 0.0391 8.6522
Sm 1.4922 2.6627 10.6667
Hg -3.0191 -0.0442 7.5100
Hg -1.4713 -2.6368 11.8089
Hg 1.5479 -2.5925 7.5100
Hg -1.5479 2.5925 11.8089
Hg 1.4713 2.6368 7.5100
Hg 3.0191 0.0442 11.8089
```